(1)
A plane-wave DFT calculation with GGA-PBE was carried out for crystalline MnSnPd5 at its relaxed geometry.

Structure (CIF):
```
data_MnSnPd5
_symmetry_space_group_name_H-M 'P 1'
_symmetry_Int_Tables_number 1
_cell_length_a 6.383
_cell_length_b 6.383
_cell_length_c 6.988
_cell_angle_alpha 71.60
_cell_angle_beta 71.60
_cell_angle_gamma 102.95
loop_
_symmetry_equiv_pos_as_xyz
'x,y,z'
loop_
_atom_site_label
_atom_site_type_symbol
_atom_site_fract_x
_atom_site_fract_y
_atom_site_fract_z
Mn1 Mn 0.455 0.545 0.750
Sn1 Sn 0.000 0.000 0.000
Pd1 Pd 0.878 0.643 0.393
Pd2 Pd 0.643 0.878 0.893
Pd3 Pd 0.789 0.475 0.853
Mn2 Mn 0.545 0.455 0.250
Pd4 Pd 0.357 0.122 0.107
Pd5 Pd 0.122 0.357 0.607
Sn2 Sn 0.000 0.000 0.500
Pd6 Pd 0.798 0.202 0.250
Pd7 Pd 0.211 0.525 0.147
Pd8 Pd 0.475 0.789 0.353
Pd9 Pd 0.525 0.211 0.647
Pd10 Pd 0.202 0.798 0.750
```

Computed properties:
As for the density of states at the Fermi level: 3.4 states/eV/f.u. For the raw total energy, the calculation gives -5.747 eV per atom. As for the symmetry: C2/c (15). As for the energy above the most stable polymorph in this dataset: 0.167 eV per atom. The calculation puts the energy of formation at -0.1565 eV/atom.

(2)
A plane-wave DFT calculation with GGA-PBE was carried out for crystalline NaSr6Ca4 at its relaxed geometry.

Structure (CIF):
```
data_NaSr6Ca4
_symmetry_space_group_name_H-M 'P 1'
_symmetry_Int_Tables_number 1
_cell_length_a 4.020
_cell_length_b 12.770
_cell_length_c 12.767
_cell_angle_alpha 120.03
_cell_angle_beta 90.00
_cell_angle_gamma 90.00
loop_
_symmetry_equiv_pos_as_xyz
'x,y,z'
loop_
_atom_site_label
_atom_site_type_symbol
_atom_site_fract_x
_atom_site_fract_y
_atom_site_fract_z
Sr1 Sr 0.000 0.524 0.048
Na1 Na 0.000 0.000 0.000
Sr2 Sr 0.500 0.180 0.361
Ca1 Ca 0.500 0.840 0.681
Sr3 Sr 0.500 0.180 0.820
Sr4 Sr 0.000 0.524 0.476
Sr5 Sr 0.000 0.952 0.476
Sr6 Sr 0.500 0.640 0.820
Ca2 Ca 0.500 0.319 0.160
Ca3 Ca 0.500 0.840 0.160
Ca4 Ca 0.000 0.333 0.667
```

Computed properties:
As for the density of states at the Fermi level: 12.3 states/eV/f.u. For the raw total energy, the calculation gives -1.636 eV per atom. As for the symmetry: Amm2 (38). The calculation puts the energy of formation at 0.1289 eV/atom.

(3)
A plane-wave DFT calculation with GGA-PBE was carried out for crystalline MnCu2Cl at its relaxed geometry.

Structure (CIF):
```
data_MnCu2Cl
_symmetry_space_group_name_H-M 'P 1'
_symmetry_Int_Tables_number 1
_cell_length_a 4.806
_cell_length_b 4.806
_cell_length_c 4.806
_cell_angle_alpha 132.27
_cell_angle_beta 132.27
_cell_angle_gamma 69.80
loop_
_symmetry_equiv_pos_as_xyz
'x,y,z'
loop_
_atom_site_label
_atom_site_type_symbol
_atom_site_fract_x
_atom_site_fract_y
_atom_site_fract_z
Cl1 Cl 0.750 0.250 0.500
Cu1 Cu 0.000 0.000 0.000
Cu2 Cu 0.250 0.750 0.500
Mn1 Mn 0.500 0.500 0.000
```

Computed properties:
As for the density of states at the Fermi level: 1.5 states/eV/f.u. The value obtained for the raw formation energy is 40.7 kJ per mole of atoms. For the raw total energy, the calculation gives -4.380 eV per atom. As for the symmetry: I-4m2 (119). As for the energy above the most stable polymorph in this dataset: 0.410 eV per atom.

(4)
A plane-wave DFT calculation with GGA-PBE was carried out for crystalline K2Tb2NpTe6 at its relaxed geometry.

Structure (CIF):
```
data_K2Tb2NpTe6
_symmetry_space_group_name_H-M 'P 1'
_symmetry_Int_Tables_number 1
_cell_length_a 7.689
_cell_length_b 7.689
_cell_length_c 8.826
_cell_angle_alpha 98.48
_cell_angle_beta 98.48
_cell_angle_gamma 119.95
loop_
_symmetry_equiv_pos_as_xyz
'x,y,z'
loop_
_atom_site_label
_atom_site_type_symbol
_atom_site_fract_x
_atom_site_fract_y
_atom_site_fract_z
Tb1 Tb 0.667 0.333 0.500
Te1 Te 0.601 0.928 0.293
Te2 Te 0.261 0.261 0.294
Te3 Te 0.928 0.601 0.293
K1 K 0.832 0.168 0.000
Te4 Te 0.072 0.399 0.707
Tb2 Tb 0.333 0.667 0.500
Te5 Te 0.399 0.072 0.707
K2 K 0.168 0.832 0.000
Te6 Te 0.739 0.739 0.706
Np1 Np 0.000 0.000 0.500
```

Computed properties:
As for the density of states at the Fermi level: 3.5 states/eV/f.u. The value obtained for the raw formation energy is -113.2 kJ per mole of atoms. For the raw total energy, the calculation gives -5.105 eV per atom. As for the symmetry: C2/m (12).